# 1
4
Lattice="3.743 -0.419 4.891 -0.890 -4.438 4.197 3.998 -4.684 0.435" Properties=species:S:1:pos:R:3 comment="PBE Rb2BiTe, optimized geometry" dos_at_fermi_per_ev_atom=1.21 space_group="Fm-3m, No. 225" formation_energy_uncorrected_mev_per_atom=-252 relative_energy_mev_per_atom=191 dft_energy_ev_per_atom=-2.492 pbc="T T T"
Te 0.000 0.000 0.000
Bi 3.425 -4.770 4.762
Rb 1.713 -2.385 2.381
Rb 5.138 -7.156 7.143

***

# 2
12
Lattice="-3.447 -4.176 -4.034 0.289 -6.545 6.529 -7.586 5.168 1.131" Properties=species:S:1:pos:R:3 comment="PBE Rb2BiTe3, optimized geometry" dos_at_fermi_per_ev_atom=0.21 space_group="Cmcm, No. 63" formation_energy_uncorrected_mev_per_atom=-616 dft_energy_ev_per_atom=-3.156 pbc="T T T"
Rb -3.867 -5.268 0.281
Rb -6.877 -0.284 3.345
Rb -4.617 -3.647 4.894
Rb -6.128 -1.906 -1.268
Bi -9.122 -4.365 3.836
Bi -1.622 -1.187 -0.210
Te -3.581 -1.557 1.846
Te -7.164 -3.996 1.780
Te -8.030 1.177 -0.008
Te -6.307 3.265 2.009
Te -2.714 -6.730 3.635
Te -0.991 -4.642 5.652

***

# 3
10
Lattice="4.641 0.000 0.000 -2.320 6.746 0.000 0.000 0.000 14.282" Properties=species:S:1:pos:R:3 comment="PBE Rb2BiTe2, optimized geometry" dos_at_fermi_per_ev_atom=0.31 space_group="Cmc2_1, No. 36" formation_energy_uncorrected_mev_per_atom=-678 relative_energy_mev_per_atom=0 dft_energy_ev_per_atom=-3.098 pbc="T T T"
Rb 2.320 5.845 1.909
Rb 0.000 4.283 11.983
Rb 0.000 0.901 9.050
Rb 2.320 2.463 4.842
Bi 2.320 1.751 0.021
Bi 0.000 4.995 7.162
Te 0.000 2.975 1.774
Te 0.000 0.437 12.667
Te 2.320 3.771 8.915
Te 2.320 6.309 5.526

***

# 4
10
Lattice="4.927 0.000 0.000 -2.463 9.277 -0.663 0.000 -0.840 11.271" Properties=species:S:1:pos:R:3 comment="PBE Rb3BiTe, optimized geometry" dos_at_fermi_per_ev_atom=0.38 space_group="C2/m, No. 12" formation_energy_uncorrected_mev_per_atom=-627 relative_energy_mev_per_atom=0 dft_energy_ev_per_atom=-2.612 pbc="T T T"
Rb -0.082 1.405 3.841
Rb -0.081 7.669 6.174
Rb 2.382 1.843 9.084
Rb 2.382 8.946 0.143
Rb -0.081 5.049 0.235
Rb 2.382 5.303 3.748
Bi -0.081 3.999 7.041
Bi 2.382 5.515 8.221
Te -0.082 7.785 2.732
Te 2.382 2.568 1.254

***

# 5
10
Lattice="-5.782 2.733 5.974 4.887 -3.529 6.344 2.667 4.574 0.490" Properties=species:S:1:pos:R:3 comment="PBE Rb2BiTe2, optimized geometry" dos_at_fermi_per_ev_atom=0.41 space_group="P4/mbm, No. 127" formation_energy_uncorrected_mev_per_atom=-590 relative_energy_mev_per_atom=88 dft_energy_ev_per_atom=-3.010 pbc="T T T"
Te 2.151 -2.025 7.199
Te -1.492 -0.116 9.210
Te -3.046 1.228 5.119
Te 0.597 -0.681 3.108
Bi 0.000 0.000 0.000
Bi -0.447 -0.398 6.159
Rb 3.652 0.411 5.144
Rb 1.834 1.002 9.524
Rb -1.879 3.367 7.663
Rb -0.061 2.775 3.284

***

# 6
10
Lattice="8.458 0.000 0.000 0.000 8.458 0.000 0.000 0.000 5.854" Properties=species:S:1:pos:R:3 comment="PBE Rb2Bi2Te, optimized geometry" dos_at_fermi_per_ev_atom=0.89 space_group="P4/mbm, No. 127" formation_energy_uncorrected_mev_per_atom=-333 dft_energy_ev_per_atom=-2.901 pbc="T T T"
Te 0.000 0.000 0.000
Te 4.229 4.229 0.000
Bi 3.139 7.367 0.000
Bi 7.367 5.319 0.000
Bi 5.319 1.090 0.000
Bi 1.090 3.139 0.000
Rb 1.494 5.723 2.927
Rb 5.723 6.964 2.927
Rb 6.964 2.735 2.927
Rb 2.735 1.494 2.927

***

# 7
14
Lattice="-2.047 -1.193 -3.704 7.029 1.034 -1.608 3.347 -17.080 3.652" Properties=species:S:1:pos:R:3 comment="PBE RbBi2Te4, optimized geometry" dos_at_fermi_per_ev_atom=0.67 space_group="Cmcm, No. 63" formation_energy_uncorrected_mev_per_atom=-320 dft_energy_ev_per_atom=-3.362 pbc="T T T"
Rb 2.812 -13.310 0.124
Rb 5.518 -3.929 -1.784
Bi 3.165 -7.120 0.544
Bi 6.332 -16.073 -0.931
Bi 1.998 -1.166 -0.729
Bi 5.165 -10.119 -2.205
Te 2.884 -1.944 -3.577
Te 3.927 -7.266 -2.439
Te 5.446 -15.296 1.917
Te 4.403 -9.973 0.779
Te 6.223 -13.062 -1.842
Te 2.107 -4.178 0.181
Te -1.023 -0.597 -1.852
Te 0.650 -9.137 -0.026

***

# 8
8
Lattice="9.789 0.000 0.000 0.000 9.789 0.000 4.895 4.895 3.333" Properties=species:S:1:pos:R:3 comment="PBE RbBi2Te, optimized geometry" dos_at_fermi_per_ev_atom=0.93 space_group="I-42d, No. 122" formation_energy_uncorrected_mev_per_atom=-67 dft_energy_ev_per_atom=-3.035 pbc="T T T"
Te 0.000 0.000 0.000
Te 9.789 4.895 1.667
Bi 7.830 2.447 0.833
Bi 1.960 7.342 0.833
Bi 7.342 6.854 2.500
Bi 12.237 12.724 2.500
Rb 4.895 4.895 0.000
Rb 4.895 9.789 1.667

***

What did the second record say?
12
Lattice="-3.447 -4.176 -4.034 0.289 -6.545 6.529 -7.586 5.168 1.131" Properties=species:S:1:pos:R:3 comment="PBE Rb2BiTe3, optimized geometry" dos_at_fermi_per_ev_atom=0.21 space_group="Cmcm, No. 63" formation_energy_uncorrected_mev_per_atom=-616 dft_energy_ev_per_atom=-3.156 pbc="T T T"
Rb -3.867 -5.268 0.281
Rb -6.877 -0.284 3.345
Rb -4.617 -3.647 4.894
Rb -6.128 -1.906 -1.268
Bi -9.122 -4.365 3.836
Bi -1.622 -1.187 -0.210
Te -3.581 -1.557 1.846
Te -7.164 -3.996 1.780
Te -8.030 1.177 -0.008
Te -6.307 3.265 2.009
Te -2.714 -6.730 3.635
Te -0.991 -4.642 5.652

***

- Which formula does entry 2 have?
  Rb2BiTe3